(1)
This record from the Alexandria database describes Zr2PbS after structural relaxation. The functional is PBE.

## Properties
- energy relative to the lowest polymorph listed for this composition (meV per atom) = 0
- uncorrected formation energy (meV per atom) = -836
- mass density (Mg/m³) = 8.1

abc: 3.7091 3.7091 7.5835
angles: 75.84 75.84 60.00
Closest atoms and distances in Å follow each position.
Atoms (fractional coordinates):
Zr 0.0627 0.0627 0.8119  3 S 2.53
Zr 0.2708 0.2708 0.1876  3 S 2.55
Pb 0.4992 0.4992 0.5024  6 Zr 3.11-3.14
S 0.6673 0.6673 0.9981  6 Zr 2.53-2.55

=====

(2)
This record from the Alexandria database describes Er4InAg2Os after structural relaxation. The functional is PBE.

## Properties
- mass density (Mg/m³) = 10.8
- formation energy (eV per atom) = -0.393

abc: 5.0570 5.0570 8.7562
angles: 73.22 73.22 60.00
Closest atoms and distances in Å follow each position.
Atoms (fractional coordinates):
Ag 0.7420 0.7420 0.7740  8 Er 2.97-3.25
Ag 0.2580 0.2580 0.2260  8 Er 2.97-3.25
Er 0.1331 0.1331 0.6007  3 Os 3.04, 4 Ag 3.09-3.25, 1 In 3.30, 3 Er 3.36
Er 0.6141 0.6141 0.1578  1 Os 2.83, 3 Ag 2.97
Er 0.8669 0.8669 0.3993  3 Os 3.04, 4 Ag 3.09-3.25, 1 In 3.30, 3 Er 3.36
Er 0.3859 0.3859 0.8422  1 Os 2.83, 3 Ag 2.97
In 0.0000 0.0000 0.0000  8 Er 3.20-3.30, 6 Ag 3.46
Os 0.5000 0.5000 0.5000  8 Er 2.83-3.04

=====

(3)
This record from the Alexandria database describes CaSm5Tm3 after structural relaxation. The functional is PBE.

## Properties
- mass density (Mg/m³) = 7.3
- formation energy (eV per atom) = 0.078

abc: 12.1111 12.1111 7.0306
angles: 54.52 54.52 48.03
Closest atoms and distances in Å follow each position.
Atoms (fractional coordinates):
Tm 0.3323 0.3326 0.8352  2 Tm 3.52, 10 Sm 3.57-3.90, 2 Ca 3.84
Tm 0.0000 0.0000 0.0000  6 Sm 3.48-3.85, 2 Tm 3.52, 2 Ca 3.54
Tm 0.6674 0.6677 0.6648  2 Tm 3.52, 10 Sm 3.57-3.90, 2 Ca 3.84
Tm 0.6677 0.6674 0.1648  2 Tm 3.52, 10 Sm 3.57-3.90, 2 Ca 3.84
Tm 0.3326 0.3323 0.3352  2 Tm 3.52, 10 Sm 3.57-3.90, 2 Ca 3.84
Tm 0.0000 0.0000 0.5000  6 Sm 3.48-3.85, 2 Tm 3.52, 2 Ca 3.54
Sm 0.0051 0.3015 0.9433  5 Sm 3.25-3.57, 2 Tm 3.48
Sm 0.3015 0.0051 0.4433  5 Sm 3.25-3.57, 2 Tm 3.48
Sm 0.6349 0.9975 0.1173  4 Sm 3.25-3.57, 1 Ca 3.39, 4 Tm 3.57-3.61
Sm 0.3480 0.6520 0.7500  2 Sm 3.28, 3 Ca 3.36-3.53
Sm 0.9949 0.6985 0.0567  5 Sm 3.25-3.57, 2 Tm 3.48
Sm 0.6520 0.3480 0.2500  2 Sm 3.28, 3 Ca 3.36-3.53
Sm 0.9975 0.6349 0.6173  4 Sm 3.25-3.57, 1 Ca 3.39, 4 Tm 3.57-3.61
Sm 0.0025 0.3651 0.3827  4 Sm 3.25-3.57, 1 Ca 3.39, 4 Tm 3.57-3.61
Sm 0.3651 0.0025 0.8827  4 Sm 3.25-3.57, 1 Ca 3.39, 4 Tm 3.57-3.61
Sm 0.6985 0.9949 0.5567  5 Sm 3.25-3.57, 2 Tm 3.48
Ca 0.6887 0.3113 0.7500  5 Sm 3.36-3.53, 2 Tm 3.54
Ca 0.3113 0.6887 0.2500  5 Sm 3.36-3.53, 2 Tm 3.54

=====

(4)
This record from the Alexandria database describes Ba3Ni after structural relaxation. The functional is PBE.

## Properties
- mass density (Mg/m³) = 3.3
- formation energy (eV per atom) = 0.192

abc: 6.2185 6.2185 6.2185
angles: 90.00 90.00 90.00
Closest atoms and distances in Å follow each position.
Atoms (fractional coordinates):
Ni 0.0000 0.0000 0.0000  6 Ba 3.11
Ba 0.0000 0.0000 0.5000  2 Ni 3.11
Ba 0.0000 0.5000 0.0000  2 Ni 3.11
Ba 0.5000 0.0000 0.0000  2 Ni 3.11

=====

(5)
This record from the Alexandria database describes TbPuCd17 after structural relaxation. The functional is PBE.

## Properties
- mass density (Mg/m³) = 8.7
- formation energy (eV per atom) = -0.071

abc: 7.6870 7.6870 7.6870
angles: 81.78 81.78 81.78
Closest atoms and distances in Å follow each position.
Atoms (fractional coordinates):
Cd 0.0917 0.0917 0.0917  4 Cd 2.90-2.94
Cd 0.3767 0.7920 0.3767  6 Cd 2.86-3.09
Cd 0.9984 0.3054 0.6979  8 Cd 2.92-3.24
Cd 0.6543 0.6543 0.1251  7 Cd 2.86-3.03
Cd 0.6979 0.9984 0.3054  8 Cd 2.92-3.24
Cd 0.8968 0.8968 0.8968  4 Cd 2.94-3.03
Cd 0.7920 0.3767 0.3767  6 Cd 2.86-3.09
Cd 0.6979 0.3054 0.9984  8 Cd 2.92-3.24
Cd 0.3054 0.6979 0.9984  8 Cd 2.92-3.24
Cd 0.6543 0.1251 0.6543  7 Cd 2.86-3.03
Cd 0.0232 0.4750 0.0232  9 Cd 2.90-3.09
Cd 0.3767 0.3767 0.7920  6 Cd 2.86-3.09
Cd 0.3054 0.9984 0.6979  8 Cd 2.92-3.24
Cd 0.0232 0.0232 0.4750  9 Cd 2.90-3.09
Cd 0.9984 0.6979 0.3054  8 Cd 2.92-3.24
Cd 0.1251 0.6543 0.6543  7 Cd 2.86-3.03
Cd 0.4750 0.0232 0.0232  9 Cd 2.90-3.09
Tb 0.6750 0.6750 0.6750  13 Cd 3.35-3.50
Pu 0.3327 0.3327 0.3327  16 Cd 3.53-3.78

=====

(6)
This record from the Alexandria database describes LaSm2Co2 after structural relaxation. The functional is PBE.

## Properties
- energy relative to the lowest polymorph listed for this composition (meV per atom) = 91
- mass density (Mg/m³) = 7.6
- formation energy (eV per atom) = 0.008

abc: 3.8035 5.7783 6.1049
angles: 105.42 108.15 90.00
Closest atoms and distances in Å follow each position.
Atoms (fractional coordinates):
Co 0.2796 0.8956 0.5591  2 Co 2.45, 2 Sm 2.73
Co 0.7204 0.1044 0.4409  2 Co 2.45, 2 Sm 2.73
Sm 0.3491 0.4094 0.6981  3 Co 2.73-2.85
Sm 0.6509 0.5906 0.3019  3 Co 2.73-2.85
La 0.0000 0.0000 0.0000  6 Co 3.11-3.46

=====

(7)
This record from the Alexandria database describes TlHgSbTe2 after structural relaxation. The functional is PBE.

## Properties
- energy relative to the lowest polymorph listed for this composition (meV per atom) = 802
- uncorrected formation energy (meV per atom) = 660
- mass density (Mg/m³) = 6.5

abc: 5.8491 5.8491 5.8590
angles: 90.00 90.00 90.00
Closest atoms and distances in Å follow each position.
Atoms (fractional coordinates):
Hg 0.5000 0.5000 0.5000  4 Sb 4.14, 8 Te 4.14
Te 0.5000 0.0000 0.0000  2 Tl 2.92
Te 0.0000 0.5000 0.0000  2 Tl 2.92
Tl 0.0000 0.0000 0.0000  4 Te 2.92, 2 Sb 2.93
Sb 0.0000 0.0000 0.5000  2 Tl 2.93

=====

(8)
This record from the Alexandria database describes Mg5CdIn3 after structural relaxation. The functional is PBE.

## Properties
- energy relative to the lowest polymorph listed for this composition (meV per atom) = 186
- mass density (Mg/m³) = 3.8
- formation energy (eV per atom) = 0.136

abc: 7.5928 7.5928 11.8458
angles: 60.79 60.79 84.35
Closest atoms and distances in Å follow each position.
Atoms (fractional coordinates):
Mg 0.1148 0.6338 0.7929  1 Cd 2.91, 2 Mg 3.04-3.19, 2 In 3.13-3.17
Mg 0.3481 0.3481 0.4127  3 In 2.83-3.04, 1 Cd 2.92
Mg 0.7218 0.2782 0.0000  3 In 2.84-2.93
Mg 0.8852 0.3662 0.2071  1 Cd 2.91, 2 Mg 3.04-3.19, 2 In 3.13-3.17
Mg 0.6857 0.6857 0.0499  3 In 2.92-3.18, 2 Mg 3.04
Mg 0.3662 0.8852 0.2071  1 Cd 2.91, 2 Mg 3.04-3.19, 2 In 3.13-3.17
Mg 0.3143 0.3143 0.9501  3 In 2.92-3.18, 2 Mg 3.04
Mg 0.6338 0.1148 0.7929  1 Cd 2.91, 2 Mg 3.04-3.19, 2 In 3.13-3.17
Mg 0.6519 0.6519 0.5873  3 In 2.83-3.04, 1 Cd 2.92
Mg 0.2782 0.7218 0.0000  3 In 2.84-2.93
In 0.6897 0.6897 0.8013  6 Mg 2.83-3.17, 1 In 2.92
In 0.0000 0.0000 0.5000  2 In 2.92, 2 Cd 3.05
In 0.6565 0.6565 0.3279  5 Mg 2.91-3.13, 1 Cd 2.94, 2 In 3.18-3.20
In 0.0000 0.0000 0.0000  2 Mg 2.84, 2 Cd 2.94
In 0.3435 0.3435 0.6721  5 Mg 2.91-3.13, 1 Cd 2.94, 2 In 3.18-3.20
In 0.3103 0.3103 0.1987  6 Mg 2.83-3.17, 1 In 2.92
Cd 0.0498 0.0498 0.7236  3 Mg 2.91-2.92, 3 In 2.94-3.05
Cd 0.9502 0.9502 0.2764  3 Mg 2.91-2.92, 3 In 2.94-3.05

=====

(9)
This record from the Alexandria database describes KRe after structural relaxation. The functional is PBE.

## Properties
- energy relative to the lowest polymorph listed for this composition (meV per atom) = 2610
- mass density (Mg/m³) = 3.1
- formation energy (eV per atom) = 3.441

abc: 7.8730 7.8730 7.8730
angles: 90.00 90.00 90.00
Closest atoms and distances in Å follow each position.
Atoms (fractional coordinates):
Re 0.5000 0.5000 0.0000  4 K 3.41
Re 0.0000 0.0000 0.0000  4 K 3.41
Re 0.5000 0.0000 0.5000  4 K 3.41
Re 0.0000 0.5000 0.5000  4 K 3.41
K 0.7500 0.7500 0.2500  4 Re 3.41
K 0.7500 0.2500 0.7500  4 Re 3.41
K 0.2500 0.2500 0.2500  4 Re 3.41
K 0.2500 0.7500 0.7500  4 Re 3.41

=====

(10)
This record from the Alexandria database describes MgMnTc after structural relaxation. The functional is PBE.

## Properties
- energy relative to the lowest polymorph listed for this composition (meV per atom) = 466
- mass density (Mg/m³) = 5.9
- formation energy (eV per atom) = 0.567

abc: 4.1266 4.1266 4.1266
angles: 60.00 60.00 60.00
Closest atoms and distances in Å follow each position.
Atoms (fractional coordinates):
Tc 0.0000 0.0000 0.0000  4 Mn 2.53
Mg 0.5000 0.5000 0.5000  4 Mn 2.53
Mn 0.7500 0.7500 0.7500  4 Mg 2.53, 4 Tc 2.53